An optimized crystal structure of Ho2TaB2Ru5. Source: Alexandria via LeMat-Bulk, functional PBE-GGA.

```
Ho2TaB2Ru5
1.0
9.6682 0.0000 0.0000
0.0000 9.6682 0.0000
0.0000 0.0000 3.1220
Ho Ta B Ru
4 2 4 10
Direct
0.1752 0.3248 0.0000 Ho
0.3248 0.8248 0.0000 Ho
0.6752 0.1752 0.0000 Ho
0.8248 0.6752 0.0000 Ho
0.0000 0.0000 0.0000 Ta
0.5000 0.5000 0.0000 Ta
0.1204 0.6204 0.0000 B
0.3796 0.1204 0.0000 B
0.6204 0.8796 0.0000 B
0.8796 0.3796 0.0000 B
0.0000 0.5000 0.5000 Ru
0.0710 0.7822 0.5000 Ru
0.2178 0.0710 0.5000 Ru
0.2822 0.5710 0.5000 Ru
0.4290 0.2822 0.5000 Ru
0.5000 0.0000 0.5000 Ru
0.5710 0.7178 0.5000 Ru
0.7178 0.4290 0.5000 Ru
0.7822 0.9290 0.5000 Ru
0.9290 0.2178 0.5000 Ru
```

Calculated values
- formation energy from the elements (eV/atom) = -0.53
- symmetry = No. 127


An optimized crystal structure of InSnSF2. Source: Alexandria via LeMat-Bulk, functional PBE-GGA.

```
InSnSF2
1.0
4.5349 0.0000 0.0000
0.0000 4.5349 0.0000
0.0000 0.0000 5.1888
In Sn S F
1 1 1 2
Direct
0.0000 0.0000 0.0000 In
0.5000 0.5000 0.5000 Sn
0.5000 0.5000 0.0000 S
0.0000 0.5000 0.5000 F
0.5000 0.0000 0.5000 F
```

Calculated values
- formation energy without anion corrections (eV/atom) = -1.379
- symmetry = No. 123


An optimized crystal structure of LaMoN3. Source: Alexandria via LeMat-Bulk, functional PBE-GGA.

```
LaMoN3
1.0
3.5266 0.0000 0.0000
1.7536 6.6883 0.0000
1.7626 0.4445 6.8663
La Mo N
2 2 6
Direct
0.0000 0.0000 0.0000 La
0.1215 0.4024 0.3581 La
0.3375 0.4532 0.8737 Mo
0.7938 0.9003 0.5122 Mo
0.1572 0.6366 0.0516 N
0.3566 0.2377 0.0503 N
0.3878 0.7761 0.4481 N
0.6472 0.9419 0.7635 N
0.7303 0.1544 0.3865 N
0.9115 0.4373 0.7414 N
```

Calculated values
- formation energy without anion corrections (eV/atom) = -0.729
- symmetry = No. 1


The following N(E_F) values (in states/eV per cell) correspond, in order, to the records above: 11.60 0.47 0.00.
The following size of the total moment values (in μB/f.u.) correspond, in order, to the records above: 0.0 0.0 0.0.